# KCeZn2F8

A relaxed structure of KCeZn2F8 (GGA-PBE, Alexandria via LeMat-Bulk).

Electronic total energy: -176.03 eV per cell
M_tot: 1.00 μB/f.u.

a = 5.3726 Å, b = 5.3726 Å, c = 24.5967 Å
α = 90.00°, β = 90.00°, γ = 120.00°
Space group R32 (No. 155, hexagonal axes)
One atom of each set of equivalent atoms:
K 0.0000 0.0000 0.0000
Ce 0.0000 0.0000 0.5000
Zn 0.0000 0.0000 0.2606
F 0.0000 0.0000 0.3361
F 0.0032 0.3275 0.7746

# K2CeZnF8

A relaxed structure of K2CeZnF8 (GGA-PBE, Alexandria via LeMat-Bulk).

Electronic total energy: -61.18 eV per cell
M_tot: 0.00 μB/f.u.

a = 4.0680 Å, b = 6.0809 Å, c = 8.2341 Å
α = 85.31°, β = 88.86°, γ = 87.22°
Space group P-1 (No. 2)
One atom of each set of equivalent atoms:
K 0.0131 0.0331 0.2335
Ce 0.5000 0.5000 0.5000
Zn 0.5000 0.5000 0.0000
F 0.0130 0.6957 0.5324
F 0.1549 0.7113 0.0303
F 0.4736 0.2107 0.6690
F 0.4801 0.3644 0.2467

# LaCeF4

A relaxed structure of LaCeF4 (GGA-PBE, Alexandria via LeMat-Bulk).

Electronic total energy: -154.29 eV per cell
M_tot: 1.60 μB/f.u.

a = 9.4750 Å, b = 9.8993 Å, c = 6.5124 Å
α = 90.00°, β = 133.24°, γ = 90.00°
Space group C2/c (No. 15)
One atom of each set of equivalent atoms:
La 0.0000 0.1421 0.2500
Ce 0.0000 0.4943 0.7500
F 0.0003 0.3085 0.5129
F 0.2046 0.9996 0.2052

# La2CeF

A relaxed structure of La2CeF (GGA-PBE, Alexandria via LeMat-Bulk).

Electronic total energy: -66.41 eV per cell
M_tot: 0.37 μB/f.u.

a = 3.7404 Å, b = 3.7404 Å, c = 26.6781 Å
α = 90.00°, β = 90.00°, γ = 120.00°
Space group R-3m (No. 166, hexagonal axes)
One atom of each set of equivalent atoms:
La 0.0000 0.0000 0.2300
Ce 0.0000 0.0000 0.0000
F 0.0000 0.0000 0.5000

# LaCeO4F2

A relaxed structure of LaCeO4F2 (GGA-PBE, Alexandria via LeMat-Bulk).

Electronic total energy: -53.85 eV per cell
M_tot: 1.01 μB/f.u.

a = 4.0247 Å, b = 4.0247 Å, c = 8.3672 Å
α = 90.00°, β = 90.00°, γ = 120.00°
Space group P-6m2 (No. 187)
One atom of each set of equivalent atoms:
La 0.0000 0.0000 0.0000
Ce 0.0000 0.0000 0.5000
O 0.3333 0.6667 0.1633
O 0.3333 0.6667 0.3440
F 0.6667 0.3333 0.0000
F 0.6667 0.3333 0.5000

# Li3CeF8

A relaxed structure of Li3CeF8 (GGA-PBE, Alexandria via LeMat-Bulk).

Electronic total energy: -60.46 eV per cell
M_tot: 1.00 μB/f.u.

a = 4.8191 Å, b = 4.8191 Å, c = 6.0265 Å
α = 90.00°, β = 90.00°, γ = 120.00°
Space group P-31m (No. 162)
One atom of each set of equivalent atoms:
Li 0.0000 0.0000 0.0000
Li 0.3333 0.6667 0.0000
Ce 0.0000 0.0000 0.5000
F 0.0000 0.3056 0.8058
F 0.3333 0.6667 0.5000

# LiCe2F6

A relaxed structure of LiCe2F6 (GGA-PBE, Alexandria via LeMat-Bulk).

Electronic total energy: -113.01 eV per cell
M_tot: 3.00 μB/f.u.

a = 3.9205 Å, b = 5.7346 Å, c = 12.1111 Å
α = 90.00°, β = 90.00°, γ = 90.00°
Space group Immm (No. 71)
One atom of each set of equivalent atoms:
Li 0.0000 0.0000 0.0000
Ce 0.0000 0.0000 0.3491
F 0.0000 0.2428 0.1724
F 0.0000 0.2719 0.5000

# LiCeF3

A relaxed structure of LiCeF3 (GGA-PBE, Alexandria via LeMat-Bulk).

Electronic total energy: -116.95 eV per cell
M_tot: 1.51 μB/f.u.

a = 7.2089 Å, b = 11.0558 Å, c = 3.1997 Å
α = 90.00°, β = 90.00°, γ = 90.00°
Space group Cmmm (No. 65)
One atom of each set of equivalent atoms:
Li 0.2500 0.2500 0.0000
Ce 0.0000 0.0000 0.0000
Ce 0.0000 0.5000 0.5000
F 0.0000 0.3217 0.0000
F 0.1909 0.1236 0.5000

Number 1: uncorrected formation energy -2.844 eV/atom. Number 2: uncorrected formation energy -3.068 eV/atom. Number 3: uncorrected formation energy -3.371 eV/atom. Number 4: uncorrected formation energy -1.119 eV/atom. Number 5: uncorrected formation energy -2.427 eV/atom. Number 6: uncorrected formation energy -2.818 eV/atom. Number 7: uncorrected formation energy -3.499 eV/atom. Number 8: uncorrected formation energy -3.155 eV/atom.